First-principles (PBE) data for a relaxed structure of Ca4Cd2P, as listed in Alexandria via LeMat-Bulk.

Computed properties:
Total moment   0.693 μB per formula unit
N(E_F)   7.736 states/eV/f.u.
Energy relative to the elements   -405 meV per atom

Unit cell a=5.4033 b=5.4033 c=16.2458 alpha=90.00 beta=90.00 gamma=90.00
Closest atoms and distances in Å follow each position.
Space group I4/mmm (No. 139)
Unique sites:
Ca1 0.0000 0.0000 0.1762  1 P 2.86, 1 Cd 3.19
Ca2 0.0000 0.5000 0.0000  2 P 2.70
Cd1 0.0000 0.0000 0.3728  5 Ca 3.19-3.40
P1 0.0000 0.0000 0.0000  6 Ca 2.70-2.86